Below is a geometry-optimized Ce2Ni12SbP3 structure, with properties calculated at the GGA-PBE level.

Computed properties:
Magnetization, μB/cell: 0.0
Theoretical density, g cm⁻³: 7.12
SG: R-3m, No. 166
Raw formation energy, eV per atom: -0.10
DOS(E_F), states/eV per atom: 0.6516

a = 7.241 Å, b = 7.241 Å, c = 7.241 Å
α = 61.83°, β = 61.83°, γ = 61.83°
Fractional coordinates of all 18 atoms:
Ce: 0.110 0.110 0.110
Ce: 0.890 0.890 0.890
Ni: 0.093 0.641 0.641
Ni: 0.149 0.149 0.610
Ni: 0.149 0.610 0.149
Ni: 0.359 0.359 0.907
Ni: 0.359 0.907 0.359
Ni: 0.390 0.851 0.851
Ni: 0.610 0.149 0.149
Ni: 0.641 0.093 0.641
Ni: 0.641 0.641 0.093
Ni: 0.851 0.390 0.851
Ni: 0.851 0.851 0.390
Ni: 0.907 0.359 0.359
Sb: 0.500 0.500 0.500
P: 0.000 0.500 0.500
P: 0.500 0.000 0.500
P: 0.500 0.500 0.000


Below is a geometry-optimized CeNiPSe structure, with properties calculated at the GGA-PBE level.

Computed properties:
Magnetization, μB/cell: 0.0
Theoretical density, g cm⁻³: 7.00
SG: P4/nmm, No. 129
Raw formation energy, eV per atom: -1.09
DOS(E_F), states/eV per atom: 1.1510

a = 3.997 Å, b = 3.997 Å, c = 9.167 Å
α = 90.00°, β = 90.00°, γ = 90.00°
Fractional coordinates of all 8 atoms:
Ce: 0.250 0.250 0.249
Ce: 0.750 0.750 0.751
Ni: 0.250 0.750 0.000
Ni: 0.750 0.250 0.000
P: 0.250 0.250 0.869
P: 0.750 0.750 0.131
Se: 0.250 0.750 0.500
Se: 0.750 0.250 0.500


Below is a geometry-optimized Ce2SiNi4P3 structure, with properties calculated at the GGA-PBE level.

Computed properties:
Magnetization, μB/cell: 0.0
Theoretical density, g cm⁻³: 7.12
SG: P-4m2, No. 115
Raw formation energy, eV per atom: -0.99
DOS(E_F), states/eV per atom: 0.6810

a = 4.014 Å, b = 4.014 Å, c = 9.202 Å
α = 90.00°, β = 90.00°, γ = 90.00°
Fractional coordinates of all 10 atoms:
Ce: 0.000 0.500 0.247
Ce: 0.500 0.000 0.753
Si: 0.000 0.000 0.500
Ni: 0.000 0.000 0.000
Ni: 0.000 0.500 0.621
Ni: 0.500 0.000 0.379
Ni: 0.500 0.500 0.000
P: 0.000 0.500 0.870
P: 0.500 0.000 0.130
P: 0.500 0.500 0.500


Below is a geometry-optimized Ce2Ni4SnP3 structure, with properties calculated at the GGA-PBE level.

Computed properties:
Magnetization, μB/cell: 0.3
E_tot, eV per atom: -6.36
Theoretical density, g cm⁻³: 7.56
SG: P-4m2, No. 115
DOS(E_F), states/eV per atom: 0.8872

a = 4.045 Å, b = 4.045 Å, c = 9.759 Å
α = 90.00°, β = 90.00°, γ = 90.00°
Fractional coordinates of all 10 atoms:
Ce: 0.000 0.500 0.229
Ce: 0.500 0.000 0.771
Ni: 0.000 0.000 0.000
Ni: 0.000 0.500 0.649
Ni: 0.500 0.000 0.351
Ni: 0.500 0.500 0.000
Sn: 0.000 0.000 0.500
P: 0.000 0.500 0.878
P: 0.500 0.000 0.122
P: 0.500 0.500 0.500


Below is a geometry-optimized CeTaNi2P2 structure, with properties calculated at the GGA-PBE level.

Computed properties:
Magnetization, μB/cell: 0.2
E_tot, eV per atom: -7.59
Theoretical density, g cm⁻³: 8.93
SG: P-3m1, No. 164
DOS(E_F), states/eV per atom: 0.7164

a = 3.794 Å, b = 3.794 Å, c = 7.465 Å
α = 90.00°, β = 90.00°, γ = 120.00°
Fractional coordinates of all 6 atoms:
Ce: 0.000 0.000 0.000
Ta: 0.000 0.000 0.500
Ni: 0.333 0.667 0.707
Ni: 0.667 0.333 0.293
P: 0.333 0.667 0.267
P: 0.667 0.333 0.733


Below is a geometry-optimized Ce2TcNi3P4 structure, with properties calculated at the GGA-PBE level.

Computed properties:
Magnetization, μB/cell: 0.7
E_tot, eV per atom: -7.09
Theoretical density, g cm⁻³: 7.39
SG: P-4m2, No. 115
DOS(E_F), states/eV per atom: 0.8242

a = 4.050 Å, b = 4.050 Å, c = 9.291 Å
α = 90.00°, β = 90.00°, γ = 90.00°
Fractional coordinates of all 10 atoms:
Ce: 0.000 0.500 0.238
Ce: 0.500 0.000 0.762
Tc: 0.000 0.000 0.500
Ni: 0.000 0.500 0.888
Ni: 0.500 0.000 0.112
Ni: 0.500 0.500 0.500
P: 0.000 0.000 0.000
P: 0.000 0.500 0.638
P: 0.500 0.000 0.362
P: 0.500 0.500 0.000


Below is a geometry-optimized CeTiNi2P2 structure, with properties calculated at the GGA-PBE level.

Computed properties:
Magnetization, μB/cell: 0.1
E_tot, eV per atom: -7.06
Theoretical density, g cm⁻³: 6.68
SG: P-3m1, No. 164
DOS(E_F), states/eV per atom: 1.1922

a = 3.861 Å, b = 3.861 Å, c = 7.077 Å
α = 90.00°, β = 90.00°, γ = 120.00°
Fractional coordinates of all 6 atoms:
Ce: 0.000 0.000 0.000
Ti: 0.000 0.000 0.500
Ni: 0.333 0.667 0.693
Ni: 0.667 0.333 0.307
P: 0.333 0.667 0.274
P: 0.667 0.333 0.726


Below is a geometry-optimized CeVNiP2 structure, with properties calculated at the GGA-PBE level.

Computed properties:
Magnetization, μB/cell: 1.5
E_tot, eV per atom: -7.27
Theoretical density, g cm⁻³: 6.38
SG: I-4m2, No. 119
DOS(E_F), states/eV per atom: 1.5049

a = 6.149 Å, b = 6.149 Å, c = 6.149 Å
α = 143.69°, β = 143.69°, γ = 52.29°
Fractional coordinates of all 5 atoms:
Ce: 0.000 0.000 0.000
V: 0.750 0.250 0.500
Ni: 0.250 0.750 0.500
P: 0.367 0.367 0.000
P: 0.633 0.633 0.000